VASP calculation (PBE-GGA) on a relaxed structure of MnTe3I.

Computed properties:
Electronic total energy   -14.8 eV/cell
Uncorrected formation energy   1.07 eV/atom
Energy above the most stable polymorph in this dataset   0.666 eV/atom

Unit cell a=5.798 b=5.798 c=5.798 alpha=90.00 beta=90.00 gamma=90.00
Space group Pm-3m (No. 221)
Asymmetric unit:
Mn 0.000 0.000 0.000 (multiplicity 1)
Te 0.000 0.500 0.500 (multiplicity 3)
I 0.500 0.500 0.500 (multiplicity 1)

VASP calculation (PBE-GGA) on a relaxed structure of MnTeI5.

Computed properties:
Electronic total energy   -85.6 eV/cell
Uncorrected formation energy   -0.19 eV/atom

Unit cell a=11.793 b=9.678 c=11.647 alpha=90.00 beta=110.90 gamma=90.00
Space group C2/c (No. 15)
Asymmetric unit:
Mn 0.000 0.055 0.250 (multiplicity 4)
Te 0.250 0.250 0.000 (multiplicity 4)
I 0.000 0.235 0.750 (multiplicity 4)
I 0.098 0.278 0.158 (multiplicity 8)
I 0.206 0.052 0.473 (multiplicity 8)